Material: MgCuP
Method: DFT, meta-GGA SCAN
State: single point on PBEsol structure

Output
- Volume: 14.40 Å³/atom
- Uncorrected energy: -10.692 eV per atom
- Formation energy: -0.501 eV per atom
- Size of the total moment: 0.0 Bohr magnetons per cell

abc: 6.450 3.811 7.030
angles: 90.00 90.00 90.00
Space group Pnma (No. 62)
Inequivalent atoms, fractional coordinates:
Mg 0.028 0.250 0.179 x4
Cu 0.128 0.250 0.561 x4
P 0.244 0.750 0.378 x4